# 1
Rb6BaI8 | GGA-PBE | relaxed

```
Rb6BaI8
1.0
4.9974 -2.0974 9.0775
5.6440 -8.8840 0.9968
10.5524 0.4641 0.4546
I Rb Ba
8 6 1
direct
0.7677 0.2323 0.7677 I
0.2500 0.2500 0.2500 I
0.2323 0.7677 0.2323 I
0.7677 0.2323 0.2323 I
0.2323 0.7677 0.7677 I
0.7500 0.7500 0.7500 I
0.7677 0.7677 0.2323 I
0.2323 0.2323 0.7677 I
0.5000 0.0000 0.0000 Rb
0.0000 0.5000 0.5000 Rb
0.0000 0.5000 0.0000 Rb
0.0000 0.0000 0.5000 Rb
0.5000 0.0000 0.5000 Rb
0.5000 0.5000 0.0000 Rb
0.0000 0.0000 0.0000 Ba
```

symmetry = No. 225
calculated volume = 835.6 Å³ per cell
N(E_F) = 0.0 states/eV/f.u.
formation energy without anion corrections = -150 kJ per mole of atoms
crystal system = cubic
total DFT energy (no corrections) = -0.10653 hartree per atom


# 2
Rb5BaI7 | GGA-PBE | relaxed

```
Rb5BaI7
1.0
5.0021 0.0000 0.0000
-2.5011 8.8516 0.0048
0.0000 -0.0521 30.5530
I Rb Ba
14 10 2
direct
0.7988 0.5976 0.8170 I
0.6384 0.2767 0.0392 I
0.0898 0.1795 0.8847 I
0.2012 0.4025 0.3172 I
0.7969 0.5939 0.6837 I
0.3624 0.7247 0.5392 I
0.4323 0.8645 0.2498 I
0.9101 0.8202 0.3842 I
0.3643 0.7285 0.9607 I
0.9146 0.8292 0.1135 I
0.5684 0.1368 0.7499 I
0.6361 0.2722 0.4607 I
0.0865 0.1729 0.6136 I
0.2042 0.4083 0.1839 I
0.4505 0.9011 0.6496 Rb
0.4522 0.9045 0.8504 Rb
0.9990 0.9980 0.4996 Rb
0.5505 0.1010 0.1497 Rb
0.0015 0.0030 0.9996 Rb
0.7211 0.4421 0.9281 Rb
0.7192 0.4383 0.5722 Rb
0.2794 0.5587 0.4281 Rb
0.5479 0.0959 0.3504 Rb
0.2815 0.5630 0.0723 Rb
0.7954 0.5907 0.2517 Ba
0.2054 0.4108 0.7510 Ba
```

symmetry = No. 8
calculated volume = 1352.8 Å³ per cell
N(E_F) = 0.0 states/eV/f.u.
formation energy without anion corrections = -149 kJ per mole of atoms
crystal system = monoclinic
total DFT energy (no corrections) = -0.10656 hartree per atom


# 3
RbBaI2 | GGA-PBE | relaxed

```
RbBaI2
1.0
8.3232 0.0000 0.0000
0.0000 8.3232 0.0000
4.1616 4.1616 7.9983
I Ba Rb
4 2 2
direct
0.1021 0.6250 0.2500 I
0.8750 0.8979 0.7500 I
0.3750 0.3521 0.7500 I
0.6479 0.1250 0.2500 I
0.0000 0.0000 0.0000 Ba
0.7500 0.2500 0.5000 Ba
0.5000 0.5000 0.0000 Rb
0.2500 0.7500 0.5000 Rb
```

symmetry = No. 122
offset from the most stable computed form = 157 meV/atom
calculated volume = 554.1 Å³ per cell
N(E_F) = 5.4 states/eV/f.u.
formation energy without anion corrections = -114 kJ per mole of atoms
crystal system = tetragonal
total DFT energy (no corrections) = -0.09856 hartree per atom